Entry 1:
First-principles (GGA-PBE) data for crystalline RbBaTmBr6 at its relaxed geometry, as listed in the Alexandria database.

```
RbBaTmBr6
1.0
7.989 0.000 0.000
-3.995 6.919 0.000
0.000 0.000 14.162
Rb Ba Tm Br
2 2 2 12
direct
0.000 0.000 0.000
0.000 0.000 0.500
0.333 0.667 0.250
0.667 0.333 0.750
0.333 0.667 0.750
0.667 0.333 0.250
0.044 0.389 0.636
0.044 0.654 0.864
0.346 0.389 0.864
0.346 0.956 0.636
0.389 0.044 0.136
0.389 0.346 0.364
0.611 0.654 0.636
0.611 0.956 0.864
0.654 0.044 0.364
0.654 0.611 0.136
0.956 0.346 0.136
0.956 0.611 0.364
```

Crystal system   trigonal
Electronic total energy   -70.1 eV for the cell shown
Formation energy from raw total energies   -1.96 eV per atom
Density of states at the Fermi level   0.00 states/eV/f.u.
Spin magnetization   0.00 μB per cell


Entry 2:
First-principles (GGA-PBE) data for crystalline Rb2BaUBr8 at its relaxed geometry, as listed in the Alexandria database.

```
Rb2BaUBr8
1.0
7.492 0.000 0.000
-0.337 7.689 0.000
-0.013 -0.003 9.711
Rb Ba U Br
2 1 1 8
direct
0.000 0.000 0.248
0.000 0.000 0.752
0.500 0.500 0.500
0.500 0.500 0.000
0.163 0.248 0.500
0.188 0.295 0.001
0.364 0.707 0.212
0.366 0.708 0.788
0.634 0.292 0.212
0.636 0.293 0.788
0.812 0.705 0.999
0.837 0.752 0.500
```

Crystal system   triclinic
Electronic total energy   -48.4 eV for the cell shown
Formation energy from raw total energies   -1.66 eV per atom
Density of states at the Fermi level   4.91 states/eV/f.u.
Spin magnetization   2.00 μB per cell


Entry 3:
First-principles (GGA-PBE) data for crystalline Rb2BaVBr6 at its relaxed geometry, as listed in the Alexandria database.

```
Rb2BaVBr6
1.0
0.000 5.775 5.775
5.775 0.000 5.775
5.775 5.775 0.000
Rb Ba V Br
2 1 1 6
direct
0.250 0.250 0.250
0.750 0.750 0.750
0.000 0.000 0.000
0.500 0.500 0.500
0.272 0.272 0.728
0.272 0.728 0.272
0.272 0.728 0.728
0.728 0.272 0.272
0.728 0.272 0.728
0.728 0.728 0.272
```

Crystal system   cubic
Electronic total energy   -38.4 eV for the cell shown
Formation energy from raw total energies   -1.54 eV per atom
Density of states at the Fermi level   0.00 states/eV/f.u.
Spin magnetization   3.00 μB per cell


Entry 4:
First-principles (GGA-PBE) data for crystalline Rb2BaWBr6 at its relaxed geometry, as listed in the Alexandria database.

```
Rb2BaWBr6
1.0
0.000 5.737 5.737
5.737 0.000 5.737
5.737 5.737 0.000
Rb Ba W Br
2 1 1 6
direct
0.250 0.250 0.250
0.750 0.750 0.750
0.000 0.000 0.000
0.500 0.500 0.500
0.273 0.273 0.727
0.273 0.727 0.273
0.273 0.727 0.727
0.727 0.273 0.273
0.727 0.273 0.727
0.727 0.727 0.273
```

Crystal system   cubic
Electronic total energy   -38.1 eV for the cell shown
Formation energy from raw total energies   -1.12 eV per atom
Density of states at the Fermi level   5.37 states/eV/f.u.
Spin magnetization   2.00 μB per cell


Entry 5:
First-principles (GGA-PBE) data for crystalline Rb2BaYBr6 at its relaxed geometry, as listed in the Alexandria database.

```
Rb2BaYBr6
1.0
0.000 6.002 6.002
6.002 0.000 6.002
6.002 6.002 0.000
Rb Ba Y Br
2 1 1 6
direct
0.250 0.250 0.250
0.750 0.750 0.750
0.000 0.000 0.000
0.500 0.500 0.500
0.264 0.264 0.736
0.264 0.736 0.264
0.264 0.736 0.736
0.736 0.264 0.264
0.736 0.264 0.736
0.736 0.736 0.264
```

Crystal system   cubic
Electronic total energy   -37.7 eV for the cell shown
Formation energy from raw total energies   -1.74 eV per atom
Density of states at the Fermi level   6.36 states/eV/f.u.
Spin magnetization   0.75 μB per cell


Entry 6:
First-principles (GGA-PBE) data for crystalline RbBaYBr6 at its relaxed geometry, as listed in the Alexandria database.

```
RbBaYBr6
1.0
8.032 0.000 0.000
-4.016 6.956 0.000
0.000 0.000 14.178
Rb Ba Y Br
2 2 2 12
direct
0.000 0.000 0.000
0.000 0.000 0.500
0.333 0.667 0.250
0.667 0.333 0.750
0.333 0.667 0.750
0.667 0.333 0.250
0.040 0.387 0.635
0.040 0.652 0.865
0.348 0.387 0.865
0.348 0.960 0.635
0.387 0.040 0.135
0.387 0.348 0.365
0.613 0.652 0.635
0.613 0.960 0.865
0.652 0.040 0.365
0.652 0.613 0.135
0.960 0.348 0.135
0.960 0.613 0.365
```

Crystal system   trigonal
Electronic total energy   -74.2 eV for the cell shown
Formation energy from raw total energies   -1.97 eV per atom
Density of states at the Fermi level   0.00 states/eV/f.u.
Spin magnetization   0.00 μB per cell


- Number 1 is which compound?
  RbBaTmBr6